Entry one
An optimized crystal structure of Y2Mg2Rh, computed with PBE.

Values from the calculation:
Calculated volume in Å³ per cell: 274.18
Symmetry: P4/mbm (127)
Total magnetization in μB/f.u.: 0.0

a b c (Å): 7.1440 7.1440 5.3722
angles (deg): 90.00 90.00 90.00
With the nearest neighbours (Å) after each atom.
Fractional positions:
Y1 0.1644 0.3356 0.0000  2 Rh 2.67
Y2 0.3356 0.8356 0.0000  2 Rh 2.67
Y3 0.6644 0.1644 0.0000  2 Rh 2.67
Y4 0.8356 0.6644 0.0000  2 Rh 2.67
Mg1 0.1529 0.6529 0.5000  1 Mg 3.09, 2 Y 3.26
Mg2 0.3471 0.1529 0.5000  1 Mg 3.09, 2 Y 3.26
Mg3 0.6529 0.8471 0.5000  1 Mg 3.09, 2 Y 3.26
Mg4 0.8471 0.3471 0.5000  1 Mg 3.09, 2 Y 3.26
Rh1 0.0000 0.0000 0.0000  4 Y 2.67
Rh2 0.5000 0.5000 0.0000  4 Y 2.67

Entry two
An optimized crystal structure of Y2Mg2Rh, computed with PBE.

Values from the calculation:
Calculated volume in Å³ per cell: 250.61
Symmetry: I4/mmm (139)
Total magnetization in μB/f.u.: 0.0

a b c (Å): 3.7026 3.7026 18.2803
angles (deg): 90.00 90.00 90.00
With the nearest neighbours (Å) after each atom.
Fractional positions:
Y1 0.0000 0.0000 0.0873  4 Rh 3.07, 1 Y 3.19
Y2 0.0000 0.0000 0.9127  4 Rh 3.07, 1 Y 3.19
Y3 0.5000 0.5000 0.4127  4 Rh 3.07, 1 Y 3.19
Y4 0.5000 0.5000 0.5873  4 Rh 3.07, 1 Y 3.19
Mg1 0.0000 0.5000 0.2500  4 Mg 2.62
Mg2 0.0000 0.5000 0.7500  4 Mg 2.62
Mg3 0.5000 0.0000 0.2500  4 Mg 2.62
Mg4 0.5000 0.0000 0.7500  4 Mg 2.62
Rh1 0.0000 0.0000 0.5000  8 Y 3.07
Rh2 0.5000 0.5000 0.0000  8 Y 3.07

Entry three
An optimized crystal structure of Y2Mg2Rh, computed with PBE.

Values from the calculation:
Calculated volume in Å³ per cell: 238.71
Symmetry: P4/mbm (127)
Total magnetization in μB/f.u.: 0.8

a b c (Å): 6.8797 6.8797 5.0435
angles (deg): 90.00 90.00 90.00
With the nearest neighbours (Å) after each atom.
Fractional positions:
Y1 0.1772 0.3228 0.0000  6 Mg 3.06-3.36
Y2 0.3228 0.8228 0.0000  6 Mg 3.06-3.36
Y3 0.6772 0.1772 0.0000  6 Mg 3.06-3.36
Y4 0.8228 0.6772 0.0000  6 Mg 3.06-3.36
Mg1 0.1448 0.6448 0.5000  2 Rh 2.64, 1 Mg 2.82
Mg2 0.3552 0.1448 0.5000  2 Rh 2.64, 1 Mg 2.82
Mg3 0.6448 0.8552 0.5000  2 Rh 2.64, 1 Mg 2.82
Mg4 0.8552 0.3552 0.5000  2 Rh 2.64, 1 Mg 2.82
Rh1 0.0000 0.0000 0.5000  4 Mg 2.64
Rh2 0.5000 0.5000 0.5000  4 Mg 2.64

What should be chosen as the most stable of them? Choose entry three.

Entry one
An optimized crystal structure of YMg4Rh, computed with PBE.

Values from the calculation:
Calculated volume in Å³ per cell: 266.91
Symmetry: Pmma (51)
Total magnetization in μB/f.u.: 0.0

a b c (Å): 8.7275 4.1698 7.3344
angles (deg): 90.00 90.00 90.00
With the nearest neighbours (Å) after each atom.
Fractional positions:
Y1 0.2500 0.0000 0.0910  1 Rh 2.77
Y2 0.7500 0.0000 0.9090  1 Rh 2.77
Mg1 0.0000 0.0000 0.5000  2 Rh 2.68
Mg2 0.0626 0.5000 0.8048  2 Rh 2.73, 1 Mg 3.04
Mg3 0.2500 0.5000 0.4547  2 Rh 2.82, 6 Mg 3.04
Mg4 0.4374 0.5000 0.8048  2 Rh 2.73, 1 Mg 3.04
Mg5 0.5000 0.0000 0.5000  2 Rh 2.68
Mg6 0.5626 0.5000 0.1952  2 Rh 2.73, 1 Mg 3.04
Mg7 0.7500 0.5000 0.5453  2 Rh 2.82, 6 Mg 3.04
Mg8 0.9374 0.5000 0.1952  2 Rh 2.73, 1 Mg 3.04
Rh1 0.2500 0.0000 0.7127  8 Mg 2.68-2.82, 1 Y 2.77
Rh2 0.7500 0.0000 0.2873  8 Mg 2.68-2.82, 1 Y 2.77

Entry two
An optimized crystal structure of YMg4Rh, computed with PBE.

Values from the calculation:
Calculated volume in Å³ per cell: 125.10
Symmetry: F-43m (216)
Total magnetization in μB/f.u.: 0.0

a b c (Å): 5.6137 5.6137 5.6137
angles (deg): 60.00 60.00 60.00
With the nearest neighbours (Å) after each atom.
Fractional positions:
Y1 0.0000 0.0000 0.0000  12 Mg 3.29, 4 Rh 3.44
Mg1 0.1283 0.6239 0.6239  6 Mg 2.78-2.83
Mg2 0.6239 0.1283 0.6239  6 Mg 2.78-2.83
Mg3 0.6239 0.6239 0.1283  6 Mg 2.78-2.83
Mg4 0.6239 0.6239 0.6239  6 Mg 2.78-2.83
Rh1 0.2500 0.2500 0.2500  12 Mg 3.29, 4 Y 3.44

What should be chosen as the most stable of them? Choose entry one.

Entry one
An optimized crystal structure of MgZnRh3, computed with PBE.

Values from the calculation:
Calculated volume in Å³ per cell: 90.35
Symmetry: Pm-3m (221)
Total magnetization in μB/f.u.: 0.0

a b c (Å): 4.4872 4.4872 4.4872
angles (deg): 90.00 90.00 90.00
With the nearest neighbours (Å) after each atom.
Fractional positions:
Mg1 0.0000 0.0000 0.0000  6 Rh 2.24
Zn1 0.5000 0.5000 0.5000  12 Rh 3.17
Rh1 0.0000 0.0000 0.5000  2 Mg 2.24
Rh2 0.0000 0.5000 0.0000  2 Mg 2.24
Rh3 0.5000 0.0000 0.0000  2 Mg 2.24

Entry two
An optimized crystal structure of MgZnRh3, computed with PBE.

Values from the calculation:
Calculated volume in Å³ per cell: 94.69
Symmetry: Pm-3m (221)
Total magnetization in μB/f.u.: 1.8

a b c (Å): 4.5580 4.5580 4.5580
angles (deg): 90.00 90.00 90.00
With the nearest neighbours (Å) after each atom.
Fractional positions:
Mg1 0.0000 0.0000 0.0000  12 Rh 3.22
Zn1 0.5000 0.5000 0.5000  6 Rh 2.28
Rh1 0.0000 0.5000 0.5000  2 Zn 2.28
Rh2 0.5000 0.0000 0.5000  2 Zn 2.28
Rh3 0.5000 0.5000 0.0000  2 Zn 2.28

What should be chosen as the most stable of them? Choose entry two.

Entry one
An optimized crystal structure of Mg2Zn2Rh, computed with PBE.

Values from the calculation:
Calculated volume in Å³ per cell: 173.64
Symmetry: I4/mmm (139)
Total magnetization in μB/f.u.: 0.0

a b c (Å): 3.7656 3.7656 12.2456
angles (deg): 90.00 90.00 90.00
With the nearest neighbours (Å) after each atom.
Fractional positions:
Mg1 0.0000 0.5000 0.2500  4 Mg 2.66, 4 Zn 2.69
Mg2 0.0000 0.5000 0.7500  4 Mg 2.66, 4 Zn 2.69
Mg3 0.5000 0.0000 0.2500  4 Mg 2.66, 4 Zn 2.69
Mg4 0.5000 0.0000 0.7500  4 Mg 2.66, 4 Zn 2.69
Zn1 0.0000 0.0000 0.0933  1 Zn 2.29
Zn2 0.0000 0.0000 0.9067  1 Zn 2.29
Zn3 0.5000 0.5000 0.4067  1 Zn 2.29
Zn4 0.5000 0.5000 0.5933  1 Zn 2.29
Rh1 0.0000 0.0000 0.5000  8 Zn 2.90
Rh2 0.5000 0.5000 0.0000  8 Zn 2.90

Entry two
An optimized crystal structure of Mg2Zn2Rh, computed with PBE.

Values from the calculation:
Calculated volume in Å³ per cell: 159.80
Symmetry: C2/c (15)
Total magnetization in μB/f.u.: 0.0

a b c (Å): 5.4365 5.4365 7.1152
angles (deg): 108.88 108.88 54.68
With the nearest neighbours (Å) after each atom.
Fractional positions:
Mg1 0.0626 0.3268 0.1432  6 Zn 2.74-3.02, 3 Rh 2.76-2.92, 3 Mg 2.88-2.92
Mg2 0.3268 0.0626 0.6432  6 Zn 2.74-3.02, 3 Rh 2.76-2.92, 3 Mg 2.88-2.92
Mg3 0.6732 0.9374 0.3568  6 Zn 2.74-3.02, 3 Rh 2.76-2.92, 3 Mg 2.88-2.92
Mg4 0.9374 0.6732 0.8568  6 Zn 2.74-3.02, 3 Rh 2.76-2.92, 3 Mg 2.88-2.92
Zn1 0.2505 0.5785 0.5564  2 Zn 2.65, 3 Rh 2.71-2.90, 5 Mg 2.74-2.94
Zn2 0.4215 0.7495 0.9436  2 Zn 2.65, 3 Rh 2.71-2.90, 5 Mg 2.74-2.94
Zn3 0.5785 0.2505 0.0564  2 Zn 2.65, 3 Rh 2.71-2.90, 5 Mg 2.74-2.94
Zn4 0.7495 0.4215 0.4436  2 Zn 2.65, 3 Rh 2.71-2.90, 5 Mg 2.74-2.94
Rh1 0.1813 0.8187 0.2500  6 Zn 2.71-2.90, 6 Mg 2.76-2.92
Rh2 0.8187 0.1813 0.7500  6 Zn 2.71-2.90, 6 Mg 2.76-2.92

What should be chosen as the most stable of them? Choose entry two.

Entry one
An optimized crystal structure of Mg2Zn2Rh, computed with PBE.

Values from the calculation:
Calculated volume in Å³ per cell: 157.68
Symmetry: C2/m (12)
Total magnetization in μB/f.u.: 0.0

a b c (Å): 7.7548 4.4192 5.3125
angles (deg): 90.00 119.99 90.00
With the nearest neighbours (Å) after each atom.
Fractional positions:
Mg1 0.2082 0.0000 0.1236  4 Zn 2.63-2.70, 3 Mg 2.81, 1 Rh 2.87
Mg2 0.2918 0.5000 0.8764  4 Zn 2.63-2.70, 3 Mg 2.81, 1 Rh 2.87
Mg3 0.7082 0.5000 0.1236  4 Zn 2.63-2.70, 3 Mg 2.81, 1 Rh 2.87
Mg4 0.7918 0.0000 0.8764  4 Zn 2.63-2.70, 3 Mg 2.81, 1 Rh 2.87
Zn1 0.1013 0.5000 0.3040  4 Mg 2.63-2.70, 3 Rh 2.72-2.73, 1 Zn 2.80
Zn2 0.3987 0.0000 0.6960  4 Mg 2.63-2.70, 3 Rh 2.72-2.73, 1 Zn 2.80
Zn3 0.6013 0.0000 0.3040  4 Mg 2.63-2.70, 3 Rh 2.72-2.73, 1 Zn 2.80
Zn4 0.8987 0.5000 0.6960  4 Mg 2.63-2.70, 3 Rh 2.72-2.73, 1 Zn 2.80
Rh1 0.0000 0.0000 0.5000  6 Zn 2.72-2.73, 2 Mg 2.87
Rh2 0.5000 0.5000 0.5000  6 Zn 2.72-2.73, 2 Mg 2.87

Entry two
An optimized crystal structure of Mg2Zn2Rh, computed with PBE.

Values from the calculation:
Calculated volume in Å³ per cell: 170.37
Symmetry: P4/mbm (127)
Total magnetization in μB/f.u.: 0.0

a b c (Å): 6.6140 6.6140 3.8947
angles (deg): 90.00 90.00 90.00
With the nearest neighbours (Å) after each atom.
Fractional positions:
Mg1 0.1773 0.3227 0.0000  6 Zn 2.64-2.84
Mg2 0.3227 0.8227 0.0000  6 Zn 2.64-2.84
Mg3 0.6773 0.1773 0.0000  6 Zn 2.64-2.84
Mg4 0.8227 0.6773 0.0000  6 Zn 2.64-2.84
Zn1 0.1329 0.6329 0.5000  1 Zn 2.49, 2 Rh 2.58, 2 Mg 2.64
Zn2 0.3671 0.1329 0.5000  1 Zn 2.49, 2 Rh 2.58, 2 Mg 2.64
Zn3 0.6329 0.8671 0.5000  1 Zn 2.49, 2 Rh 2.58, 2 Mg 2.64
Zn4 0.8671 0.3671 0.5000  1 Zn 2.49, 2 Rh 2.58, 2 Mg 2.64
Rh1 0.0000 0.0000 0.5000  4 Zn 2.58
Rh2 0.5000 0.5000 0.5000  4 Zn 2.58

What should be chosen as the most stable of them? Choose entry one.